[1]
DFT (PBE-GGA) results for an optimized crystal structure of LiMg4Ag2.

a = 4.6262 Å, b = 4.6262 Å, c = 26.0734 Å
α = 90.00°, β = 90.00°, γ = 120.00°
Closest atoms and distances in Å follow each position.
Space group R-3m (No. 166, hexagonal axes)
Symmetry-distinct sites (fractional):
Li1 0.0000 0.0000 0.0000 (multiplicity 3)  2 Ag 2.55
Mg1 0.0000 0.0000 0.2054 (multiplicity 6)  4 Ag 2.78-2.81
Mg2 0.0000 0.0000 0.3894 (multiplicity 6)  3 Ag 2.88, 3 Li 3.04
Ag1 0.0000 0.0000 0.0976 (multiplicity 6)  1 Li 2.55, 4 Mg 2.78-2.81

E ... -41.90 eV per cell
Calculated formation energy ... 0.004 eV per atom
DOS at the Fermi energy ... 9.0 states/eV per cell

=====

[2]
DFT (PBE-GGA) results for an optimized crystal structure of Na12ZnCd7.

a = 13.2333 Å, b = 13.2333 Å, c = 10.8162 Å
α = 90.00°, β = 90.00°, γ = 120.00°
Closest atoms and distances in Å follow each position.
Space group R-3 (No. 148, hexagonal axes)
Symmetry-distinct sites (fractional):
Na1 0.0013 0.2679 0.0007 (multiplicity 18)  6 Na 3.33-3.54, 5 Cd 3.33-3.54
Na2 0.0802 0.1647 0.7452 (multiplicity 18)  1 Zn 3.26, 6 Na 3.27-3.49, 4 Cd 3.34-3.38
Zn1 0.0000 0.0000 0.5000 (multiplicity 3)  6 Cd 3.03, 6 Na 3.26
Cd1 0.0000 0.0000 0.0000 (multiplicity 3)  12 Na 3.34-3.54
Cd2 0.0731 0.5355 0.1166 (multiplicity 18)  3 Cd 3.03-3.17, 1 Zn 3.03, 5 Na 3.33-3.38

E ... -73.26 eV per cell
Calculated formation energy ... -0.046 eV per atom
DOS at the Fermi energy ... 27.3 states/eV per cell

=====

[3]
DFT (PBE-GGA) results for an optimized crystal structure of Mg2NpB2Ru5.

a = 9.5829 Å, b = 9.5829 Å, c = 3.0323 Å
α = 90.00°, β = 90.00°, γ = 90.00°
Closest atoms and distances in Å follow each position.
Space group P4/mbm (No. 127)
Symmetry-distinct sites (fractional):
Mg1 0.1720 0.3280 0.0000 (multiplicity 4)  10 Ru 2.78-3.01, 3 B 2.83-2.85, 2 Mg 3.03
Np1 0.0000 0.0000 0.0000 (multiplicity 2)  8 Ru 2.68
B1 0.1180 0.6180 0.0000 (multiplicity 4)  6 Ru 2.20-2.22
Ru1 0.0000 0.5000 0.5000 (multiplicity 2)  4 B 2.20
Ru2 0.0755 0.7821 0.5000 (multiplicity 8)  2 B 2.22

E ... -155.34 eV per cell
Calculated formation energy ... -0.181 eV per atom
DOS at the Fermi energy ... 14.8 states/eV per cell